## La2Pd5Pt (PBE)

Data for an optimized crystal structure of La2Pd5Pt.

a = 5.9794 Å, b = 11.9658 Å, c = 4.2375 Å
α = 90.00°, β = 90.00°, γ = 90.00°
Space group Pbam (No. 55)
Inequivalent atoms, fractional coordinates:
La: 0.2504 0.1247 0.0000
Pd: 0.0000 0.0000 0.5000
Pd: 0.0002 0.2508 0.5000
Pd: 0.2498 0.3752 0.0000
Pt: 0.0000 0.5000 0.5000


## LaPdPt (PBE)

Data for an optimized crystal structure of LaPdPt.

a = 5.5340 Å, b = 5.5758 Å, c = 7.8828 Å
α = 90.00°, β = 90.00°, γ = 90.00°
Space group Imma (No. 74)
Inequivalent atoms, fractional coordinates:
La: 0.0000 0.2500 0.1263
Pd: 0.2500 0.2500 0.7500
Pt: 0.0000 0.0000 0.5000


| no. | ΔH_f (0 K) (eV per formula unit) |
| --- | --- |
| 1 | -6.58 |
| 2 | -2.86 |